# AcZn12Cu4 (GGA-PBE, optimized geometry)
data_AcZn12Cu4
_cell_length_a 7.482
_cell_length_b 7.482
_cell_length_c 7.482
_cell_angle_alpha 109.47
_cell_angle_beta 109.47
_cell_angle_gamma 109.47
_space_group_name_H-M_alt 'P 1'
_space_group_IT_number 1
loop_
_space_group_symop_operation_xyz
'x,y,z'
loop_
_atom_site_label
_atom_site_fract_x
_atom_site_fract_y
_atom_site_fract_z
Zn1 0.811 0.165 0.646
Zn2 0.646 0.811 0.165
Zn3 0.519 0.165 0.354
Zn4 0.646 0.481 0.835
Zn5 0.165 0.646 0.811
Zn6 0.189 0.835 0.354
Zn7 0.354 0.519 0.165
Zn8 0.481 0.835 0.646
Zn9 0.835 0.354 0.189
Zn10 0.835 0.646 0.481
Zn11 0.354 0.189 0.835
Zn12 0.165 0.354 0.519
Cu1 0.500 0.500 0.500
Cu2 0.500 0.000 0.000
Cu3 0.000 0.500 0.000
Cu4 0.000 0.000 0.500
Ac1 0.000 0.000 0.000
# Formation energy, meV/atom: 136.9
# Density of states at the Fermi level, states/eV per atom: 0.29
# V, Å³/cell: 322.4
# E, eV/atom: -1.968
# SG: Im-3, No. 204